Arrangement one

# TaFe4W

A geometry-optimized TaFe4W structure (PBE, the Alexandria database).

Summary:
- Total magnetic moment: 6.49 μB/cell

a = 4.738 Å, b = 4.738 Å, c = 7.809 Å
α = 90.00°, β = 90.00°, γ = 120.00°
Positions (direct):
Fe 0.339 0.170 0.249
Fe 0.830 0.661 0.249
Fe 0.830 0.170 0.249
Fe 0.170 0.339 0.751
Fe 0.661 0.830 0.751
Fe 0.000 0.000 0.000
Fe 0.000 0.000 0.500
Fe 0.170 0.830 0.751
W 0.667 0.333 0.942
W 0.333 0.667 0.058
Ta 0.667 0.333 0.573
Ta 0.333 0.667 0.427

Arrangement two

# TaFe4W

A geometry-optimized TaFe4W structure (PBE, the Alexandria database).

Summary:
- Total magnetic moment: 5.14 μB/cell

a = 4.762 Å, b = 4.762 Å, c = 4.762 Å
α = 60.00°, β = 60.00°, γ = 60.00°
Positions (direct):
Fe 0.625 0.625 0.625
Fe 0.125 0.625 0.625
Fe 0.625 0.625 0.125
Fe 0.625 0.125 0.625
W 0.000 0.000 0.000
Ta 0.250 0.250 0.250

The least stable of them is arrangement two.

Arrangement one

# YTa2Fe

A geometry-optimized YTa2Fe structure (PBE, the Alexandria database).

Summary:
- Total magnetic moment: 0.00 μB/cell

a = 4.632 Å, b = 4.632 Å, c = 4.632 Å
α = 60.00°, β = 60.00°, γ = 60.00°
Positions (direct):
Y 0.500 0.500 0.500
Ta 0.250 0.250 0.250
Ta 0.750 0.750 0.750
Fe 0.000 0.000 0.000

Arrangement two

# YTa2Fe

A geometry-optimized YTa2Fe structure (PBE, the Alexandria database).

Summary:
- Total magnetic moment: 1.31 μB/cell

a = 9.236 Å, b = 9.236 Å, c = 9.236 Å
α = 19.50°, β = 19.50°, γ = 19.50°
Positions (direct):
Ta 0.258 0.258 0.258
Ta 0.009 0.009 0.009
Fe 0.741 0.741 0.741
Y 0.492 0.492 0.492

Arrangement three

# YTa2Fe

A geometry-optimized YTa2Fe structure (PBE, the Alexandria database).

Summary:
- Total magnetic moment: 1.06 μB/cell

a = 4.967 Å, b = 4.967 Å, c = 8.957 Å
α = 73.90°, β = 73.90°, γ = 90.00°
Positions (direct):
Y 0.750 0.250 0.500
Y 0.000 0.000 0.000
Ta 0.375 0.624 0.750
Ta 0.374 0.625 0.250
Ta 0.875 0.626 0.750
Ta 0.376 0.125 0.250
Fe 0.250 0.750 0.500
Fe 0.500 0.500 0.000

Arrangement four

# YTa2Fe

A geometry-optimized YTa2Fe structure (PBE, the Alexandria database).

Summary:
- Total magnetic moment: 1.20 μB/cell

a = 5.643 Å, b = 5.643 Å, c = 5.643 Å
α = 139.19°, β = 139.19°, γ = 59.09°
Positions (direct):
Fe 0.750 0.250 0.500
Ta 0.000 0.000 0.000
Ta 0.500 0.500 0.000
Y 0.250 0.750 0.500

The least stable of them is arrangement three.

Arrangement one

# YTa2Fe

A geometry-optimized YTa2Fe structure (PBE, the Alexandria database).

Summary:
- Total magnetic moment: 0.00 μB/cell

a = 4.021 Å, b = 3.138 Å, c = 6.550 Å
α = 72.02°, β = 90.00°, γ = 90.00°
Positions (direct):
Fe 0.500 0.751 0.811
Ta 0.500 0.263 0.187
Ta 0.000 0.930 0.980
Y 0.000 0.557 0.522

Arrangement two

# YTa2Fe

A geometry-optimized YTa2Fe structure (PBE, the Alexandria database).

Summary:
- Total magnetic moment: 0.60 μB/cell

a = 9.276 Å, b = 9.276 Å, c = 9.276 Å
α = 19.32°, β = 19.32°, γ = 19.32°
Positions (direct):
Ta 0.017 0.017 0.017
Ta 0.483 0.483 0.483
Y 0.250 0.250 0.250
Fe 0.750 0.750 0.750

The least stable of them is arrangement two.

Arrangement one

# YTa2Fe

A geometry-optimized YTa2Fe structure (PBE, the Alexandria database).

Summary:
- Total magnetic moment: 0.81 μB/cell

a = 4.837 Å, b = 4.837 Å, c = 3.113 Å
α = 90.00°, β = 90.00°, γ = 90.00°
Positions (direct):
Y 0.500 0.000 0.500
Ta 0.000 0.000 0.000
Ta 0.500 0.500 0.000
Fe 0.000 0.500 0.500

Arrangement two

# YTa2Fe

A geometry-optimized YTa2Fe structure (PBE, the Alexandria database).

Summary:
- Total magnetic moment: 1.34 μB/cell

a = 4.936 Å, b = 3.935 Å, c = 3.935 Å
α = 90.00°, β = 90.00°, γ = 90.00°
Positions (direct):
Ta 0.000 0.000 0.000
Ta 0.000 0.500 0.500
Y 0.500 0.500 0.000
Fe 0.500 0.000 0.500

The least stable of them is arrangement one.